# 1
The following is a GGA-PBE calculation of an optimized crystal structure of Se2SNCl, from the Alexandria database.

## Properties
Energy above the most stable polymorph in this dataset ... 0.6939 eV/atom

a = 5.270 Å, b = 5.270 Å, c = 3.402 Å
α = 90.00°, β = 90.00°, γ = 90.00°
Space group P4/mmm (No. 123)
Inequivalent atoms, fractional coordinates:
Se: 0.000 0.500 0.000 [2 per cell]
S: 0.000 0.000 0.500 [1 per cell]
N: 0.500 0.500 0.500 [1 per cell]
Cl: 0.500 0.500 0.000 [1 per cell]

=====

# 2
The following is a GGA-PBE calculation of an optimized crystal structure of Se2SNCl, from the Alexandria database.

## Properties
Energy above the most stable polymorph in this dataset ... 0.0000 eV/atom

a = 5.467 Å, b = 5.467 Å, c = 3.228 Å
α = 90.00°, β = 90.00°, γ = 90.00°
Space group P4/mmm (No. 123)
Inequivalent atoms, fractional coordinates:
Se: 0.000 0.500 0.000 [2 per cell]
S: 0.000 0.000 0.000 [1 per cell]
N: 0.000 0.000 0.500 [1 per cell]
Cl: 0.500 0.500 0.500 [1 per cell]

=====

# 3
The following is a GGA-PBE calculation of an optimized crystal structure of SiS2NCl, from the Alexandria database.

## Properties
Energy above the most stable polymorph in this dataset ... 0.0000 eV/atom

a = 4.872 Å, b = 4.872 Å, c = 3.323 Å
α = 90.00°, β = 90.00°, γ = 90.00°
Space group P4/mmm (No. 123)
Inequivalent atoms, fractional coordinates:
Si: 0.000 0.000 0.000 [1 per cell]
S: 0.000 0.500 0.000 [2 per cell]
N: 0.000 0.000 0.500 [1 per cell]
Cl: 0.500 0.500 0.500 [1 per cell]

=====

# 4
The following is a GGA-PBE calculation of an optimized crystal structure of SiS2NCl, from the Alexandria database.

## Properties
Energy above the most stable polymorph in this dataset ... 0.4438 eV/atom

a = 4.088 Å, b = 4.088 Å, c = 4.595 Å
α = 90.00°, β = 90.00°, γ = 90.00°
Space group P4/mmm (No. 123)
Inequivalent atoms, fractional coordinates:
Si: 0.000 0.000 0.000 [1 per cell]
S: 0.000 0.500 0.500 [2 per cell]
N: 0.500 0.500 0.500 [1 per cell]
Cl: 0.500 0.500 0.000 [1 per cell]

=====

# 5
The following is a GGA-PBE calculation of an optimized crystal structure of SiS2NCl, from the Alexandria database.

## Properties
Energy above the most stable polymorph in this dataset ... 1.0259 eV/atom

a = 4.828 Å, b = 4.828 Å, c = 3.752 Å
α = 90.00°, β = 90.00°, γ = 90.00°
Space group P4/mmm (No. 123)
Inequivalent atoms, fractional coordinates:
Si: 0.000 0.000 0.000 [1 per cell]
S: 0.000 0.500 0.500 [2 per cell]
N: 0.500 0.500 0.000 [1 per cell]
Cl: 0.500 0.500 0.500 [1 per cell]

=====

# 6
The following is a GGA-PBE calculation of an optimized crystal structure of SiS2NCl, from the Alexandria database.

## Properties
Energy above the most stable polymorph in this dataset ... 0.5107 eV/atom

a = 4.496 Å, b = 4.496 Å, c = 4.845 Å
α = 90.00°, β = 90.00°, γ = 90.00°
Space group P4/mmm (No. 123)
Inequivalent atoms, fractional coordinates:
Si: 0.000 0.000 0.000 [1 per cell]
S: 0.000 0.500 0.000 [2 per cell]
N: 0.500 0.500 0.500 [1 per cell]
Cl: 0.000 0.000 0.500 [1 per cell]

=====

# 7
The following is a GGA-PBE calculation of an optimized crystal structure of SiS2NCl, from the Alexandria database.

## Properties
Energy above the most stable polymorph in this dataset ... 0.3970 eV/atom

a = 3.989 Å, b = 3.989 Å, c = 5.166 Å
α = 90.00°, β = 90.00°, γ = 90.00°
Space group P4/mmm (No. 123)
Inequivalent atoms, fractional coordinates:
Si: 0.000 0.000 0.000 [1 per cell]
S: 0.000 0.500 0.500 [2 per cell]
N: 0.000 0.000 0.500 [1 per cell]
Cl: 0.500 0.500 0.000 [1 per cell]

=====

# 8
The following is a GGA-PBE calculation of an optimized crystal structure of SnSN2Cl, from the Alexandria database.

## Properties
Energy above the most stable polymorph in this dataset ... 0.0000 eV/atom

a = 4.140 Å, b = 4.140 Å, c = 5.535 Å
α = 90.00°, β = 90.00°, γ = 90.00°
Space group P4/mmm (No. 123)
Inequivalent atoms, fractional coordinates:
Sn: 0.000 0.000 0.000 [1 per cell]
S: 0.000 0.000 0.500 [1 per cell]
N: 0.000 0.500 0.000 [2 per cell]
Cl: 0.500 0.500 0.500 [1 per cell]

=====

# 9
The following is a GGA-PBE calculation of an optimized crystal structure of SnSNCl2, from the Alexandria database.

## Properties
Energy above the most stable polymorph in this dataset ... 0.0000 eV/atom

a = 4.385 Å, b = 4.385 Å, c = 4.730 Å
α = 90.00°, β = 90.00°, γ = 90.00°
Space group P4/mmm (No. 123)
Inequivalent atoms, fractional coordinates:
Sn: 0.000 0.000 0.000 [1 per cell]
S: 0.500 0.500 0.000 [1 per cell]
N: 0.500 0.500 0.500 [1 per cell]
Cl: 0.000 0.500 0.500 [2 per cell]

=====

# 10
The following is a GGA-PBE calculation of an optimized crystal structure of SnSN2Cl, from the Alexandria database.

## Properties
Energy above the most stable polymorph in this dataset ... 0.4587 eV/atom

a = 4.103 Å, b = 4.103 Å, c = 4.772 Å
α = 90.00°, β = 90.00°, γ = 90.00°
Space group P4/mmm (No. 123)
Inequivalent atoms, fractional coordinates:
Sn: 0.000 0.000 0.000 [1 per cell]
S: 0.500 0.500 0.000 [1 per cell]
N: 0.000 0.500 0.500 [2 per cell]
Cl: 0.500 0.500 0.500 [1 per cell]

=====

# 11
The following is a GGA-PBE calculation of an optimized crystal structure of SnSNCl2, from the Alexandria database.

## Properties
Energy above the most stable polymorph in this dataset ... 0.1584 eV/atom

a = 5.242 Å, b = 5.242 Å, c = 4.967 Å
α = 90.00°, β = 90.00°, γ = 90.00°
Space group P4/mmm (No. 123)
Inequivalent atoms, fractional coordinates:
Sn: 0.000 0.000 0.000 [1 per cell]
S: 0.000 0.000 0.500 [1 per cell]
N: 0.500 0.500 0.500 [1 per cell]
Cl: 0.000 0.500 0.000 [2 per cell]

=====

# 12
The following is a GGA-PBE calculation of an optimized crystal structure of SrSN2Cl, from the Alexandria database.

## Properties
Energy above the most stable polymorph in this dataset ... 0.2829 eV/atom

a = 5.078 Å, b = 5.078 Å, c = 6.025 Å
α = 90.00°, β = 90.00°, γ = 90.00°
Space group P4/mmm (No. 123)
Inequivalent atoms, fractional coordinates:
Sr: 0.000 0.000 0.000 [1 per cell]
S: 0.000 0.000 0.500 [1 per cell]
N: 0.000 0.500 0.000 [2 per cell]
Cl: 0.500 0.500 0.500 [1 per cell]

=====

Going through the records in order, we get E_form (uncorrected) values of 8.91 5.44 3.29 5.51 8.42 5.84 5.28 7.20 3.15 9.49 3.95 7.28 eV per formula unit.
Going through the records in order, we get calculated total energy values of -12.362 -15.831 -20.560 -18.341 -15.430 -18.006 -18.575 -19.427 -16.994 -17.134 -16.202 -17.026 eV per cell.
Going through the records in order, we get Fermi-level density of states values of 3.9 4.8 4.6 2.4 2.2 4.5 1.6 1.7 0.9 3.0 4.2 2.1 states/eV per cell.